B7C5 PBE relaxed; density = 2.43 g cm⁻³; crystal system = trigonal; space-group type = P3m1; uncorrected energy = -7.24 eV per atom; formation energy = 495 meV/atom; total moment = 0.0 μB per formula unit
1.0
-1.5226 -0.9603 -1.9772
2.6495 0.1735 -0.3165
1.5637 -13.8249 5.5103
C B
5 7
direct
0.0000 0.0000 0.0158 C
0.3333 0.6667 0.0508 C
0.6667 0.3333 0.2994 C
0.6667 0.3333 0.2050 C
0.6667 0.3333 0.7378 C
0.3333 0.6667 0.1578 B
0.0000 0.0000 0.9114 B
0.0000 0.0000 0.3442 B
0.0000 0.0000 0.4612 B
0.6667 0.3333 0.8424 B
0.3333 0.6667 0.4946 B
0.3333 0.6667 0.7296 B

BC PBE relaxed; density = 1.28 g cm⁻³; crystal system = hexagonal; space-group type = P6_3/mmc; uncorrected energy = -7.36 eV per atom; formation energy = 591 meV/atom; total moment = 0.0 μB per formula unit
1.0
-1.2173 -0.8446 2.2383
0.2313 -1.6485 -2.1058
8.3273 -3.1154 3.3533
C B
2 2
direct
0.6667 0.3333 0.7500 C
0.3333 0.6667 0.2500 C
0.3333 0.6667 0.7500 B
0.6667 0.3333 0.2500 B

BC PBE relaxed; density = 2.74 g cm⁻³; crystal system = monoclinic; space-group type = Pm; uncorrected energy = -7.53 eV per atom; formation energy = 423 meV/atom; total moment = 0.0 μB per formula unit
1.0
-0.2731 2.3989 0.8289
-3.5209 0.6606 -3.0718
-3.9805 -2.2523 5.2067
B C
6 6
direct
0.5000 0.2059 0.8910 B
0.0000 0.9671 0.2284 B
0.0000 0.6736 0.6228 B
0.0000 0.9820 0.9736 B
0.5000 0.7935 0.3597 B
0.0000 0.3542 0.3411 B
0.5000 0.8584 0.5866 C
0.5000 0.1818 0.6508 C
0.0000 0.6707 0.9924 C
0.5000 0.4726 0.2462 C
0.0000 0.3313 0.5821 C
0.5000 0.5088 0.0254 C